VASP calculation (PBE) on crystalline HfB3Pt at its relaxed geometry.

Lattice parameters (Å, degrees): 4.092 4.092 4.092 90.00 90.00 90.00
Sites, in units of the cell vectors:
1 B 0.500 0.000 0.000
2 B 0.000 0.500 0.000
3 Hf 0.500 0.500 0.500
4 B 0.000 0.000 0.500
5 Pt 0.000 0.000 0.000

Summary:
DFT total energy in eV/atom: -6.27
SG: Pm-3m
Crystal system: cubic
Excess energy over the best structure of this formula in the dataset in kJ/mol of atoms: 0.0
Calculated density in Mg/m³: 9.8
Size of the total moment in μB per cell: 0.00
E_form in eV per atom: 0.940



VASP calculation (PBE) on crystalline Cd5Sn2Hg2 at its relaxed geometry.

Lattice parameters (Å, degrees): 5.458 11.432 9.556 126.74 106.59 90.00
Sites, in units of the cell vectors:
1 Cd 0.360 0.977 0.292
2 Hg 0.871 0.441 0.754
3 Hg 0.617 0.187 0.246
4 Sn 0.269 0.361 0.500
5 Cd 0.640 0.685 0.708
6 Cd 0.779 0.829 0.116
7 Cd 0.432 0.477 0.292
8 Cd 0.837 0.329 0.116
9 Hg 0.129 0.687 0.246
10 Sn 0.500 0.520 0.000
11 Cd 0.568 0.185 0.708
12 Hg 0.383 0.941 0.754
13 Cd 0.022 0.623 0.500
14 Sn 0.731 0.861 0.500
15 Cd 0.221 0.713 0.884
16 Cd 0.978 0.123 0.500
17 Sn 0.000 0.020 0.000
18 Cd 0.163 0.213 0.884

Summary:
DFT total energy in eV/atom: -1.41
SG: Ima2
Crystal system: orthorhombic
Excess energy over the best structure of this formula in the dataset in kJ/mol of atoms: 0.0
Calculated density in Mg/m³: 8.9
Size of the total moment in μB per cell: 0.00
E_form in eV per atom: 0.051